Entry from Alexandria via LeMat-Bulk: crystalline YTeRu at its relaxed geometry (PBE-GGA). Values from VASP.

Quantum ESPRESSO input file:
```
&SYSTEM
  ibrav = 0, nat = 3, ntyp = 3
/
ATOMIC_SPECIES
Te 127.60 Te.upf
Ru 101.07 Ru.upf
Y 88.91 Y.upf
CELL_PARAMETERS angstrom
6.142 0.001 -0.001
5.208 3.255 0.003
0.934 0.263 3.243
ATOMIC_POSITIONS angstrom
Te 4.668 1.336 2.081
Ru 11.225 3.221 0.041
Y 7.740 2.219 1.125
```

***

Entry from Alexandria via LeMat-Bulk: crystalline Y4TeRu at its relaxed geometry (PBE-GGA). Values from VASP.

Quantum ESPRESSO input file:
```
&SYSTEM
  ibrav = 0, nat = 12, ntyp = 3
/
ATOMIC_SPECIES
Y 88.91 Y.upf
Ru 101.07 Ru.upf
Te 127.60 Te.upf
CELL_PARAMETERS angstrom
-1.976 -5.246 3.869
6.190 2.451 3.761
-6.212 5.807 0.067
ATOMIC_POSITIONS angstrom
Y -3.614 -1.091 3.014
Ru 0.133 6.250 4.182
Y 4.447 2.250 3.291
Te -3.638 2.066 3.941
Y -6.445 0.763 4.407
Ru -2.131 -3.237 3.516
Y -0.846 2.198 2.205
Y 0.046 -1.659 3.077
Y -2.043 4.671 4.621
Y -1.152 0.814 5.493
Te 1.640 0.946 3.757
Y 1.616 4.104 4.684
```

## Properties
The value obtained for the distance to the lowest polymorph of the same formula is 0.175 eV/atom.

***

Entry from Alexandria via LeMat-Bulk: crystalline Y4Te2Ru at its relaxed geometry (PBE-GGA). Values from VASP.

Quantum ESPRESSO input file:
```
&SYSTEM
  ibrav = 0, nat = 7, ntyp = 3
/
ATOMIC_SPECIES
Y 88.91 Y.upf
Te 127.60 Te.upf
Ru 101.07 Ru.upf
CELL_PARAMETERS angstrom
-1.774 3.412 -3.607
0.670 -3.631 -3.764
-7.862 -2.672 -2.515
ATOMIC_POSITIONS angstrom
Y -5.371 -1.799 -2.914
Y 0.335 -1.815 -1.882
Y -0.887 1.706 -1.804
Te -2.529 -0.803 -3.369
Te -6.437 -2.088 -6.517
Y -3.595 -1.092 -6.972
Ru 0.000 0.000 0.000
```

***

Entry from Alexandria via LeMat-Bulk: crystalline Y2TeRu at its relaxed geometry (PBE-GGA). Values from VASP.

Quantum ESPRESSO input file:
```
&SYSTEM
  ibrav = 0, nat = 4, ntyp = 3
/
ATOMIC_SPECIES
Te 127.60 Te.upf
Y 88.91 Y.upf
Ru 101.07 Ru.upf
CELL_PARAMETERS angstrom
-0.003 -3.393 -1.157
3.577 0.099 -0.300
4.228 -2.287 6.695
ATOMIC_POSITIONS angstrom
Te 5.853 -3.337 4.217
Y 3.884 -1.028 3.004
Ru 1.950 -2.243 1.020
Y 3.596 0.034 -0.107
```

***

Entry from Alexandria via LeMat-Bulk: crystalline Y2TeRu at its relaxed geometry (PBE-GGA). Values from VASP.

Quantum ESPRESSO input file:
```
&SYSTEM
  ibrav = 0, nat = 4, ntyp = 3
/
ATOMIC_SPECIES
Te 127.60 Te.upf
Ru 101.07 Ru.upf
Y 88.91 Y.upf
CELL_PARAMETERS angstrom
-7.064 1.936 -2.191
-5.779 -0.838 -4.934
-7.244 -2.069 -1.299
ATOMIC_POSITIONS angstrom
Te -15.065 -0.729 -6.318
Ru -5.022 -0.243 -2.106
Y -19.828 -0.959 -8.316
Y -10.301 -0.498 -4.320
```

***

Entry from Alexandria via LeMat-Bulk: crystalline Y3TeRu at its relaxed geometry (PBE-GGA). Values from VASP.

Quantum ESPRESSO input file:
```
&SYSTEM
  ibrav = 0, nat = 5, ntyp = 3
/
ATOMIC_SPECIES
Ru 101.07 Ru.upf
Y 88.91 Y.upf
Te 127.60 Te.upf
CELL_PARAMETERS angstrom
5.334 0.000 0.000
0.000 5.334 0.000
0.000 0.000 5.334
ATOMIC_POSITIONS angstrom
Ru 0.000 0.000 0.000
Y 0.000 2.667 0.000
Y 0.000 0.000 2.667
Te 2.667 2.667 2.667
Y 2.667 0.000 0.000
```

## Properties
The value obtained for the distance to the lowest polymorph of the same formula is 0.273 eV/atom.

***

Entry from Alexandria via LeMat-Bulk: crystalline Y2TeRu at its relaxed geometry (PBE-GGA). Values from VASP.

Quantum ESPRESSO input file:
```
&SYSTEM
  ibrav = 0, nat = 4, ntyp = 3
/
ATOMIC_SPECIES
Y 88.91 Y.upf
Ru 101.07 Ru.upf
Te 127.60 Te.upf
CELL_PARAMETERS angstrom
6.022 0.001 0.000
3.081 5.174 0.000
-4.552 -2.587 2.975
ATOMIC_POSITIONS angstrom
Y 0.000 0.000 0.000
Ru 4.552 2.587 0.000
Te 3.011 0.000 1.488
Y 1.541 2.587 1.488
```

***

Entry from Alexandria via LeMat-Bulk: crystalline YTeRu at its relaxed geometry (PBE-GGA). Values from VASP.

Quantum ESPRESSO input file:
```
&SYSTEM
  ibrav = 0, nat = 3, ntyp = 3
/
ATOMIC_SPECIES
Te 127.60 Te.upf
Y 88.91 Y.upf
Ru 101.07 Ru.upf
CELL_PARAMETERS angstrom
-1.202 2.327 4.613
-0.446 -3.103 4.280
3.457 0.953 -3.909
ATOMIC_POSITIONS angstrom
Te -1.117 -0.526 6.026
Y -0.574 -0.270 3.099
Ru -1.605 -0.755 8.662
```

***

Entry from Alexandria via LeMat-Bulk: crystalline Y4TeRu at its relaxed geometry (PBE-GGA). Values from VASP.

Quantum ESPRESSO input file:
```
&SYSTEM
  ibrav = 0, nat = 6, ntyp = 3
/
ATOMIC_SPECIES
Ru 101.07 Ru.upf
Y 88.91 Y.upf
Te 127.60 Te.upf
CELL_PARAMETERS angstrom
5.495 -2.099 1.658
0.481 -4.026 4.573
1.541 -5.795 -1.180
ATOMIC_POSITIONS angstrom
Ru 5.638 -8.940 3.787
Y 5.548 -5.524 2.721
Y 3.591 -7.353 1.316
Te 0.000 0.000 0.000
Y 3.067 -6.478 4.163
Y 2.828 -4.485 1.900
```

## Properties
The value obtained for the distance to the lowest polymorph of the same formula is 1.181 eV/atom.

***

Entry from Alexandria via LeMat-Bulk: crystalline Y2TeRu at its relaxed geometry (PBE-GGA). Values from VASP.

Quantum ESPRESSO input file:
```
&SYSTEM
  ibrav = 0, nat = 4, ntyp = 3
/
ATOMIC_SPECIES
Y 88.91 Y.upf
Te 127.60 Te.upf
Ru 101.07 Ru.upf
CELL_PARAMETERS angstrom
4.149 0.000 0.000
0.000 4.149 0.000
0.000 0.000 6.321
ATOMIC_POSITIONS angstrom
Y 2.075 2.074 2.115
Te 2.075 2.074 5.223
Ru 0.000 0.000 2.336
Y 0.000 0.000 6.128
```

***

Entry from Alexandria via LeMat-Bulk: crystalline Y3TeRu at its relaxed geometry (PBE-GGA). Values from VASP.

Quantum ESPRESSO input file:
```
&SYSTEM
  ibrav = 0, nat = 10, ntyp = 3
/
ATOMIC_SPECIES
Te 127.60 Te.upf
Y 88.91 Y.upf
Ru 101.07 Ru.upf
CELL_PARAMETERS angstrom
4.155 0.000 1.061
1.317 7.779 3.510
-0.081 0.105 8.988
ATOMIC_POSITIONS angstrom
Te 2.830 1.987 6.252
Y 1.949 3.583 9.702
Ru 3.845 1.935 2.274
Y 4.068 6.519 10.070
Y 0.253 1.038 7.677
Y 1.322 1.365 3.489
Te 2.561 5.897 7.306
Y 3.441 4.301 3.857
Y 5.138 6.846 5.882
Ru 1.545 5.949 11.285
```

## Properties
The value obtained for the distance to the lowest polymorph of the same formula is 0.000 eV/atom.

***

Entry from Alexandria via LeMat-Bulk: crystalline Y2TeRu at its relaxed geometry (PBE-GGA). Values from VASP.

Quantum ESPRESSO input file:
```
&SYSTEM
  ibrav = 0, nat = 4, ntyp = 3
/
ATOMIC_SPECIES
Y 88.91 Y.upf
Te 127.60 Te.upf
Ru 101.07 Ru.upf
CELL_PARAMETERS angstrom
-1.745 -2.904 -3.701
-1.638 -4.634 1.008
-4.900 -1.043 -0.271
ATOMIC_POSITIONS angstrom
Y -2.071 -2.145 -0.741
Te -6.213 -6.436 -2.223
Ru -4.142 -4.291 -1.482
Y 0.000 0.000 0.000
```

***

Here are the calculated formation energy from raw total energies numbers, same order: -0.820 -2.859 -4.125 -2.822 -2.528 -1.862 -1.859 -0.674 3.180 -2.247 -3.225 -0.421 (eV/f.u.).